No. 1
Below is AgSn2Pb3Se6 after structural relaxation, with properties calculated at the PBE level.

For the energy relative to the elements, uncorrected, the calculation gives -0.41 eV per atom. Its spin magnetization is 0.0 Bohr magnetons per cell. The space group is No. 12.

Cell lengths 4.2487, 8.5029, 9.5797 Å; angles 102.55, 102.81, 90.00 degrees
Fractional coordinates of all 12 atoms:
Sn 0.8384 0.6721 0.6768
Sn 0.1616 0.3279 0.3232
Pb 0.1652 0.8347 0.3304
Pb 0.8348 0.1653 0.6696
Pb 0.5000 0.5000 0.0000
Se 0.6692 0.5790 0.3384
Se 0.6659 0.0925 0.3318
Se 0.3308 0.4210 0.6616
Se 0.9957 0.7650 0.9915
Se 0.3341 0.9075 0.6682
Se 0.0043 0.2350 0.0085
Ag 0.5000 0.0000 0.0000

=====

No. 2
Below is CrPdAu2 after structural relaxation, with properties calculated at the PBE level.

The calculated formation energy is 0.31 eV per atom. Its spin magnetization is 0.0 Bohr magnetons per cell. The space group is No. 225.

Cell lengths 4.4780, 4.4780, 4.4780 Å; angles 60.00, 60.00, 60.00 degrees
Fractional coordinates of all 4 atoms:
Pd 0.5000 0.5000 0.5000
Au 0.7500 0.7500 0.7500
Au 0.2500 0.2500 0.2500
Cr 0.0000 0.0000 0.0000

=====

No. 3
Below is Rb2PmHfS4 after structural relaxation, with properties calculated at the PBE level.

For the energy relative to the elements, uncorrected, the calculation gives -1.59 eV per atom. Its spin magnetization is 0.0 Bohr magnetons per cell. The space group is No. 10.

Cell lengths 3.9457, 6.9126, 8.0353 Å; angles 106.22, 90.00, 90.00 degrees
Fractional coordinates of all 8 atoms:
S 0.0000 0.7086 0.1876
S 0.5000 0.2554 0.1959
S 0.0000 0.2914 0.8124
S 0.5000 0.7446 0.8041
Hf 0.5000 0.5000 0.0000
Rb 0.0000 0.5000 0.5000
Rb 0.5000 0.0000 0.5000
Pm 0.0000 0.0000 0.0000

=====

No. 4
Below is LiPuIO6 after structural relaxation, with properties calculated at the PBE level.

For the energy relative to the elements, uncorrected, the calculation gives -1.43 eV per atom. Its spin magnetization is 4.0 Bohr magnetons per cell. The space group is No. 163.

Cell lengths 5.5975, 5.5975, 9.4461 Å; angles 90.00, 90.00, 120.00 degrees
Each line ends with the local moment (μB).
Fractional coordinates of all 18 atoms:
O 0.0001 0.6414 0.8634  -0.09
O 0.6413 0.6414 0.6366  -0.09
O 0.3586 0.3587 0.8634  -0.09
O 0.0001 0.3587 0.6366  -0.09
O 0.3587 0.3586 0.3634  -0.09
O 0.3587 0.0001 0.1366  -0.09
O 0.3586 0.9999 0.6366  -0.09
O 0.6413 0.9999 0.8634  -0.09
O 0.6414 0.6413 0.1366  -0.09
O 0.6414 0.0001 0.3634  -0.09
O 0.9999 0.6413 0.3634  -0.09
O 0.9999 0.3586 0.1366  -0.09
Li 0.0000 0.0000 0.5000  0.00
Li 0.0000 0.0000 0.0000  0.00
I 0.6667 0.3333 0.2500  0.00
I 0.3333 0.6667 0.7500  0.00
Pu 0.6667 0.3333 0.7500  2.60
Pu 0.3333 0.6667 0.2500  2.60

=====

DOS at the Fermi energy: 0.5292 0.9318 0.3722 0.6850 (states/eV per atom)